A plane-wave DFT calculation with PBE-GGA was carried out for a geometry-optimized La2Sb4PtRh3 structure.

E_tot: -6.32 eV per atom
Total moment: 0.00 μB per atom
Fermi-level density of states: 0.655 states/eV per atom
Energy relative to the elements, uncorrected: -85 kJ/mol of atoms

```
data_La2Sb4PtRh3
_symmetry_space_group_name_H-M 'P -4 m 2'
_symmetry_Int_Tables_number 115
_cell_length_a 4.6355
_cell_length_b 4.6355
_cell_length_c 10.3974
_cell_angle_alpha 90.00
_cell_angle_beta 90.00
_cell_angle_gamma 90.00
loop_
_symmetry_equiv_pos_as_xyz
'x,y,z'
'y,-x,-z'
'-x,-y,z'
'-y,x,-z'
'-x,y,z'
'-y,-x,-z'
'x,-y,z'
'y,x,-z'
loop_
_atom_site_label
_atom_site_type_symbol
_atom_site_fract_x
_atom_site_fract_y
_atom_site_fract_z
La1 La 0.0000 0.5000 0.2449
Sb1 Sb 0.0000 0.0000 0.5000
Sb2 Sb 0.0000 0.5000 0.8680
Sb3 Sb 0.5000 0.5000 0.5000
Pt1 Pt 0.5000 0.5000 0.0000
Rh1 Rh 0.0000 0.0000 0.0000
Rh2 Rh 0.0000 0.5000 0.6196
```